The following is a DFT calculation (GGA-PBE) of a relaxed structure of NaRhI2O.

abc: 5.7533 5.7533 3.7915
angles: 90.00 90.00 90.00
Closest atoms and distances in Å follow each position.
Positions (direct):
1 O 0.0000 0.0000 0.5000  2 Rh 1.90
2 Na 0.5000 0.5000 0.5000  8 I 3.45, 2 Na 3.79
3 I 0.5000 0.0000 0.0000  2 Rh 2.88
4 I 0.0000 0.5000 0.0000  2 Rh 2.88
5 Rh 0.0000 0.0000 0.0000  2 O 1.90

Output
formation energy from raw total energies	-0.565	eV/atom
E	-19.56	eV/cell
excess energy over the best structure of this formula in the dataset	0	meV per atom
theoretical density	5.2	g/cm³